(1)
The following is a PBE calculation of a geometry-optimized Al2AsRu structure, from Alexandria.

Results
ΔE_f = -183 meV/atom
DOS at the Fermi energy = 4.26 states/eV per cell

a = 5.3140 Å, b = 7.5337 Å, c = 2.9971 Å
α = 90.00°, β = 90.00°, γ = 90.00°
Space group Cmmm (No. 65)
Inequivalent atoms, fractional coordinates:
Al1 0.2500 0.2500 0.0000
As1 0.0000 0.0000 0.5000
Ru1 0.0000 0.5000 0.5000


(2)
The following is a PBE calculation of a geometry-optimized FeNiAu structure, from Alexandria.

Results
ΔE_f = 76 meV/atom
ΔE to the lowest computed polymorph = 17.2 meV/atom
DOS at the Fermi energy = 4.23 states/eV per cell

a = 2.9281 Å, b = 3.1209 Å, c = 8.9793 Å
α = 90.00°, β = 90.00°, γ = 90.00°
Space group Pmm2 (No. 25)
Inequivalent atoms, fractional coordinates:
Fe1 0.0000 0.0000 0.0000
Fe2 0.5000 0.5000 0.1487
Ni1 0.0000 0.0000 0.2833
Ni2 0.0000 0.0000 0.6399
Au1 0.5000 0.5000 0.4645
Au2 0.5000 0.5000 0.8172


(3)
The following is a PBE calculation of a geometry-optimized PmHoPd structure, from Alexandria.

Results
ΔE_f = -391 meV/atom
ΔE to the lowest computed polymorph = 129.7 meV/atom
DOS at the Fermi energy = 2.65 states/eV per cell

a = 4.7886 Å, b = 4.7886 Å, c = 3.9395 Å
α = 90.00°, β = 90.00°, γ = 120.00°
Space group P3m1 (No. 156)
Inequivalent atoms, fractional coordinates:
Pm1 0.0000 0.0000 0.0000
Ho1 0.6667 0.3333 0.4682
Pd1 0.3333 0.6667 0.6605


(4)
The following is a PBE calculation of a geometry-optimized YPBr2 structure, from Alexandria.

Results
ΔE to the lowest computed polymorph = 207.1 meV/atom
DOS at the Fermi energy = 3.46 states/eV per cell
energy relative to the elements, uncorrected = -0.898 eV/atom

a = 3.8081 Å, b = 4.2420 Å, c = 15.8300 Å
α = 90.00°, β = 90.00°, γ = 90.00°
Space group Immm (No. 71)
Inequivalent atoms, fractional coordinates:
Y1 0.0000 0.0000 0.0000
P1 0.0000 0.0000 0.5000
Br1 0.0000 0.5000 0.3543


(5)
The following is a PBE calculation of a geometry-optimized Pr8NdDy6 structure, from Alexandria.

Results
ΔE_f = 162 meV/atom
ΔE to the lowest computed polymorph = 37.8 meV/atom
DOS at the Fermi energy = 68.78 states/eV per cell

a = 9.8964 Å, b = 9.8964 Å, c = 18.2454 Å
α = 90.00°, β = 90.00°, γ = 120.00°
Space group R-3 (No. 148, hexagonal axes)
Inequivalent atoms, fractional coordinates:
Pr1 0.0000 0.0000 0.0851
Pr2 0.0541 0.2412 0.6712
Nd1 0.0000 0.0000 0.5000
Dy1 0.0383 0.2828 0.1775


(6)
The following is a PBE calculation of a geometry-optimized Pr3Sm2ThS6 structure, from Alexandria.

Results
DOS at the Fermi energy = 11.88 states/eV per cell
energy relative to the elements, uncorrected = -1.986 eV/atom

a = 17.6950 Å, b = 4.0609 Å, c = 8.1382 Å
α = 90.00°, β = 103.38°, γ = 90.00°
Space group C2/m (No. 12)
Inequivalent atoms, fractional coordinates:
Pr1 0.0000 0.0000 0.0000
Pr2 0.1658 0.5000 0.3340
Sm1 0.1661 0.5000 0.8317
Th1 0.0000 0.0000 0.5000
S1 0.0021 0.5000 0.7484
S2 0.1661 0.0000 0.5890
S3 0.1693 0.0000 0.0784